[1]
FeHPdPt2 (PBE, optimized geometry); spin magnetization = 0.85 μB/atom; DOS(E_F) = 0.897 states/eV/atom; symmetry = P4/mmm (123); VASP energy = -29.3 eV/cell; V = 62.5 Å³/f.u.
1.0
3.927 0.000 0.000
0.000 3.927 0.000
0.000 0.000 4.056
Fe H Pd Pt
1 1 1 2
Direct
0.000 0.000 0.000
0.000 0.000 0.500
0.500 0.500 0.000
0.000 0.500 0.500
0.500 0.000 0.500

=====

[2]
BaLiDy2Hg4 (PBE, optimized geometry); spin magnetization = 0.00 μB/atom; DOS(E_F) = 0.640 states/eV/atom; symmetry = R-3m (166); V = 226.0 Å³/f.u.; formation enthalpy at 0 K = -0.40 eV/atom
1.0
2.579 1.489 9.808
-2.579 1.489 9.808
0.000 -2.978 9.808
Ba Li Dy Hg
1 1 2 4
Direct
0.000 0.000 0.000
0.500 0.500 0.500
0.232 0.232 0.232
0.768 0.768 0.768
0.127 0.127 0.127
0.403 0.403 0.403
0.597 0.597 0.597
0.873 0.873 0.873

=====

[3]
SrFe2Ir2 (PBE, optimized geometry); spin magnetization = 1.29 μB/atom; DOS(E_F) = 0.614 states/eV/atom; symmetry = I4/mmm (139); V = 93.4 Å³/f.u.; formation enthalpy at 0 K = 0.00 eV/atom
1.0
-2.150 2.150 5.055
2.150 -2.150 5.055
2.150 2.150 -5.055
Sr Fe Ir
1 2 2
Direct
0.000 0.000 0.000
0.250 0.750 0.500
0.750 0.250 0.500
0.376 0.376 0.000
0.624 0.624 0.000

=====

[4]
PmSm2Rh3 (PBE, optimized geometry); spin magnetization = 0.00 μB/atom; DOS(E_F) = 0.820 states/eV/atom; symmetry = P-3m1 (164); V = 129.3 Å³/f.u.; formation enthalpy at 0 K = -0.71 eV/atom
1.0
4.962 0.000 0.000
-2.481 4.297 0.000
0.000 0.000 6.063
Pm Sm Rh
1 2 3
Direct
0.000 0.000 0.000
0.333 0.667 0.666
0.667 0.333 0.334
0.000 0.000 0.500
0.333 0.667 0.168
0.667 0.333 0.832

=====

[5]
Tb2NdSm5 (PBE, optimized geometry); spin magnetization = 0.00 μB/atom; DOS(E_F) = 1.441 states/eV/atom; symmetry = Pbam (55); V = 267.7 Å³/f.u.; formation enthalpy at 0 K = 0.01 eV/atom
1.0
7.242 0.000 0.000
0.000 14.483 0.000
0.000 0.000 5.105
Tb Nd Sm
4 2 10
Direct
0.250 0.125 0.000
0.250 0.625 0.000
0.750 0.375 0.000
0.750 0.875 0.000
0.000 0.000 0.500
0.500 0.500 0.500
0.000 0.250 0.500
0.000 0.500 0.500
0.000 0.750 0.500
0.250 0.375 0.000
0.250 0.875 0.000
0.500 0.000 0.500
0.500 0.250 0.500
0.500 0.750 0.500
0.750 0.125 0.000
0.750 0.625 0.000

=====

[6]
V2FeRh4 (PBE, optimized geometry); spin magnetization = 0.32 μB/atom; DOS(E_F) = 0.982 states/eV/atom; symmetry = Cmmm (65); V = 100.6 Å³/f.u.; formation enthalpy at 0 K = -0.11 eV/atom
1.0
3.269 -3.995 0.000
3.269 3.995 0.000
0.000 0.000 3.854
V Fe Rh
2 1 4
Direct
0.226 0.774 0.000
0.774 0.226 0.000
0.000 0.000 0.500
0.000 0.500 0.500
0.286 0.286 0.000
0.500 0.000 0.500
0.714 0.714 0.000

=====

Which of these has the lowest DOS(E_F)?
SrFe2Ir2

=====

What is the V in the sixth record?
100.6 Å³/f.u.

=====

spin magnetization of number 1 (FeHPdPt2)?
0.85 μB/atom

=====

The highest V belongs to which entry?
Tb2NdSm5